# 1
DFT (GGA-PBE) results for Sr2MoRh after structural relaxation.

Results
Calculated formation energy in eV/atom: 0.871
Offset from the most stable computed form in meV per atom: 719

abc: 3.3473 3.3473 29.6922
angles: 90.00 90.00 120.00
Last column: nearest neighbours and their distance in Å.
Space group R-3m (No. 166, hexagonal axes)
Symmetry-distinct sites (fractional):
Sr: 0.0000 0.0000 0.2428 (multiplicity 6)  3 Rh 2.97, 3 Mo 3.31
Mo: 0.0000 0.0000 0.0000 (multiplicity 3)  6 Sr 3.31, 6 Mo 3.35
Rh: 0.0000 0.0000 0.5000 (multiplicity 3)  6 Sr 2.97

# 2
DFT (GGA-PBE) results for Cs3AcTe2O9 after structural relaxation.

Results
Formation energy (no corrections) in eV per atom: -1.5379

abc: 6.2060 6.2060 7.6459
angles: 90.00 90.00 120.00
Last column: nearest neighbours and their distance in Å.
Space group P-3m1 (No. 164)
Symmetry-distinct sites (fractional):
Cs: 0.0000 0.0000 0.0000 (multiplicity 1)  12 O 3.05-3.10
Cs: 0.3333 0.6667 0.6703 (multiplicity 2)  12 O 3.09-3.23
Ac: 0.0000 0.0000 0.5000 (multiplicity 1)  6 O 2.49
Te: 0.3333 0.6667 0.1628 (multiplicity 2)  3 O 1.92
O: 0.0000 0.5000 0.0000 (multiplicity 3)  2 Te 2.18
O: 0.1848 0.3696 0.3031 (multiplicity 6)  1 Te 1.92

# 3
DFT (GGA-PBE) results for CuRhBr after structural relaxation.

Results
Formation energy (no corrections) in eV per atom: 0.5389
Offset from the most stable computed form in meV per atom: 126

abc: 3.1473 5.4384 12.1304
angles: 90.00 90.00 90.00
Last column: nearest neighbours and their distance in Å.
Space group Fmm2 (No. 42)
Symmetry-distinct sites (fractional):
Cu: 0.0000 0.0000 0.0000 (multiplicity 4)  2 Rh 2.48, 2 Br 2.59
Rh: 0.0000 0.0000 0.3417 (multiplicity 4)  2 Cu 2.48, 2 Br 2.61
Br: 0.0000 0.0000 0.6697 (multiplicity 4)  2 Cu 2.59, 2 Rh 2.61

# 4
DFT (GGA-PBE) results for Ag2IrBr after structural relaxation.

Results
Formation energy (no corrections) in eV per atom: 0.4955
Offset from the most stable computed form in meV per atom: 50

abc: 3.1114 3.7150 7.0711
angles: 90.00 102.26 90.00
Last column: nearest neighbours and their distance in Å.
Space group Pm (No. 6)
Symmetry-distinct sites (fractional):
Ag: 0.0000 0.0000 0.0000 (multiplicity 1)  6 Ag 2.85-3.11, 1 Ir 2.90
Ag: 0.3947 0.5000 0.7814 (multiplicity 1)  4 Ir 2.79, 6 Ag 2.85-3.11
Ir: 0.7978 0.0000 0.5806 (multiplicity 1)  2 Br 2.49
Br: 0.6812 0.5000 0.3400 (multiplicity 1)  2 Ir 2.49

# 5
DFT (GGA-PBE) results for Sm5As4Se after structural relaxation.

Results
Formation energy (no corrections) in eV per atom: -1.6216
Offset from the most stable computed form in meV per atom: 14

abc: 4.2069 4.2069 29.7750
angles: 90.00 90.00 90.00
Last column: nearest neighbours and their distance in Å.
Space group I4/mmm (No. 139)
Symmetry-distinct sites (fractional):
Sm: 0.0000 0.0000 0.0000 (multiplicity 2)  2 As 2.94, 4 Se 2.97
Sm: 0.0000 0.0000 0.2004 (multiplicity 4)  6 As 2.96-3.03
Sm: 0.0000 0.0000 0.3976 (multiplicity 4)  5 As 2.91-2.98, 1 Se 3.05
As: 0.0000 0.0000 0.0987 (multiplicity 4)  6 Sm 2.94-3.03
As: 0.0000 0.0000 0.2999 (multiplicity 4)  6 Sm 2.91-2.97
Se: 0.0000 0.0000 0.5000 (multiplicity 2)  6 Sm 2.97-3.05

# 6
DFT (GGA-PBE) results for CaTbSmEu after structural relaxation.

Results
Calculated formation energy in eV/atom: 0.137

abc: 8.3434 8.3434 8.3434
angles: 90.00 90.00 90.00
Last column: nearest neighbours and their distance in Å.
Space group F-43m (No. 216)
Symmetry-distinct sites (fractional):
Ca: 0.0000 0.0000 0.0000 (multiplicity 4)  4 Eu 3.61, 4 Sm 3.61
Tb: 0.0000 0.0000 0.5000 (multiplicity 4)  4 Sm 3.61, 4 Eu 3.61
Sm: 0.2500 0.2500 0.2500 (multiplicity 4)  4 Ca 3.61, 4 Tb 3.61
Eu: 0.2500 0.2500 0.7500 (multiplicity 4)  4 Tb 3.61, 4 Ca 3.61

# 7
DFT (GGA-PBE) results for Pr2Ho3ThSe6 after structural relaxation.

Results
Formation energy (no corrections) in eV per atom: -1.7293

abc: 18.3206 4.0901 8.4346
angles: 90.00 106.06 90.00
Last column: nearest neighbours and their distance in Å.
Space group C2/m (No. 12)
Symmetry-distinct sites (fractional):
Pr: 0.1634 0.0000 0.3271 (multiplicity 4)  6 Se 2.99-3.05
Ho: 0.0000 0.5000 0.5000 (multiplicity 2)  6 Se 2.87-2.89
Ho: 0.1671 0.0000 0.8340 (multiplicity 4)  6 Se 2.84-2.87
Th: 0.0000 0.5000 0.0000 (multiplicity 2)  6 Se 3.01-3.02
Se: 0.0059 0.0000 0.7412 (multiplicity 4)  3 Ho 2.84-2.87, 1 Pr 2.99, 2 Th 3.02
Se: 0.1639 0.5000 0.5934 (multiplicity 4)  3 Ho 2.87-2.89, 3 Pr 3.04-3.05
Se: 0.1705 0.5000 0.0706 (multiplicity 4)  3 Ho 2.85-2.86, 2 Pr 3.01, 1 Th 3.01

# 8
DFT (GGA-PBE) results for K2BaSi2 after structural relaxation.

Results
Formation energy (no corrections) in eV per atom: 0.0555
Offset from the most stable computed form in meV per atom: 62

abc: 8.2721 8.2721 5.6029
angles: 90.00 90.00 90.00
Last column: nearest neighbours and their distance in Å.
Space group P4/mbm (No. 127)
Symmetry-distinct sites (fractional):
K: 0.1681 0.3319 0.0000 (multiplicity 4)  6 Si 3.60-3.93, 1 K 3.93
Ba: 0.0000 0.0000 0.5000 (multiplicity 2)  4 Si 3.44
Si: 0.0959 0.5959 0.5000 (multiplicity 4)  1 Si 2.24

# 9
DFT (GGA-PBE) results for Tl5Cd after structural relaxation.

Results
Calculated formation energy in eV/atom: 0.134
Offset from the most stable computed form in meV per atom: 110

abc: 9.1765 9.1765 9.1765
angles: 90.00 90.00 90.00
Last column: nearest neighbours and their distance in Å.
Space group F-43m (No. 216)
Symmetry-distinct sites (fractional):
Tl: 0.0000 0.0000 0.0000 (multiplicity 4)  12 Tl 3.80, 4 Cd 3.97
Tl: 0.1252 0.1252 0.6252 (multiplicity 16)  6 Tl 3.24-3.25
Cd: 0.2500 0.2500 0.2500 (multiplicity 4)  16 Tl 3.80-3.97

# 10
DFT (GGA-PBE) results for Nb2CrMoH after structural relaxation.

Results
Offset from the most stable computed form in meV per atom: 126

abc: 4.4745 4.4745 3.3852
angles: 90.00 90.00 90.00
Last column: nearest neighbours and their distance in Å.
Space group P4/mmm (No. 123)
Symmetry-distinct sites (fractional):
Nb: 0.0000 0.5000 0.0000 (multiplicity 2)  2 H 2.24
Cr: 0.0000 0.0000 0.5000 (multiplicity 1)  8 Nb 2.81
Mo: 0.5000 0.5000 0.5000 (multiplicity 1)  2 H 1.69
H: 0.5000 0.5000 0.0000 (multiplicity 1)  2 Mo 1.69

# 11
DFT (GGA-PBE) results for Mg2ScNi after structural relaxation.

Results
Calculated formation energy in eV/atom: 0.083

abc: 3.0864 3.0864 27.9877
angles: 90.00 90.00 120.00
Last column: nearest neighbours and their distance in Å.
Space group R-3m (No. 166, hexagonal axes)
Symmetry-distinct sites (fractional):
Mg: 0.0000 0.0000 0.2355 (multiplicity 6)  3 Ni 2.62
Sc: 0.0000 0.0000 0.0000 (multiplicity 3)  6 Sc 3.09, 6 Mg 3.27
Ni: 0.0000 0.0000 0.5000 (multiplicity 3)  6 Mg 2.62

# 12
DFT (GGA-PBE) results for Pm2LuAl after structural relaxation.

Results
Calculated formation energy in eV/atom: -0.138
Offset from the most stable computed form in meV per atom: 0

abc: 3.5472 3.5472 9.1741
angles: 90.00 90.00 90.00
Last column: nearest neighbours and their distance in Å.
Space group P4/mmm (No. 123)
Symmetry-distinct sites (fractional):
Pm: 0.0000 0.0000 0.2179 (multiplicity 2)  4 Al 3.21, 4 Pm 3.55
Lu: 0.5000 0.5000 0.5000 (multiplicity 1)  4 Lu 3.55, 8 Pm 3.60
Al: 0.5000 0.5000 0.0000 (multiplicity 1)  8 Pm 3.21, 4 Al 3.55

| no. | ρ (g/cm3) |
| --- | --- |
| 1 | 6.468 |
| 2 | 6.673 |
| 3 | 7.881 |
| 4 | 10.143 |
| 5 | 7.125 |
| 6 | 5.733 |
| 7 | 8.106 |
| 8 | 2.353 |
| 9 | 9.750 |
| 10 | 8.202 |
| 11 | 3.285 |
| 12 | 7.077 |